Entry 1:
# CsCeVF6

A relaxed structure of CsCeVF6 (PBE with a Hubbard U, the Alexandria database). Values from VASP.

Geometry as Quantum ESPRESSO input:
```
&SYSTEM
  ibrav = 0, nat = 18, ntyp = 4
/
ATOMIC_SPECIES
Cs 132.91 Cs.upf
Ce 140.12 Ce.upf
V 50.94 V.upf
F 19.00 F.upf
CELL_PARAMETERS angstrom
8.5368 0.0000 0.0000
0.0000 8.0765 0.0000
-4.2684 -4.0383 5.5965
ATOMIC_POSITIONS angstrom
Cs 4.2684 2.0191 3.4561
Cs 0.0000 2.0191 2.1404
Ce 2.1342 -2.0191 2.7983
Ce -2.1342 -2.0191 2.7983
V 4.2684 4.0383 0.0000
V 4.2684 0.0000 0.0000
F 0.0000 2.0191 5.1110
F 4.2684 -2.0191 3.7924
F 5.7608 -0.2455 1.4948
F 2.7760 4.2837 1.4948
F 2.7760 -0.2455 1.4948
F 5.7608 4.2837 1.4948
F 4.2684 2.0191 0.4855
F 0.0000 6.0574 1.8041
F -1.4924 4.2837 4.1017
F 1.4924 -0.2455 4.1017
F 1.4924 4.2837 4.1017
F -1.4924 -0.2455 4.1017
```

Total magnetic moment   0.44 μB/atom
Space group   Imma
N(E_F)   3.1 states/eV/cell
Total DFT energy (no corrections)   -6.0973 eV per atom

---

Entry 2:
# Cs2CeV3F12

A relaxed structure of Cs2CeV3F12 (PBE with a Hubbard U, the Alexandria database). Values from VASP.

Geometry as Quantum ESPRESSO input:
```
&SYSTEM
  ibrav = 0, nat = 18, ntyp = 4
/
ATOMIC_SPECIES
Cs 132.91 Cs.upf
Ce 140.12 Ce.upf
V 50.94 V.upf
F 19.00 F.upf
CELL_PARAMETERS angstrom
7.8427 0.0617 0.0438
3.9268 6.7891 0.0438
3.9268 2.2857 6.3929
ATOMIC_POSITIONS angstrom
Cs 9.5941 5.5846 3.9611
Cs 6.1021 3.5519 2.5193
Ce 0.0000 0.0000 0.0000
V 3.9213 0.0309 0.0219
V 1.9634 3.3945 0.0219
V 1.9634 1.1429 3.1964
F 7.2113 4.1976 5.9175
F 12.1105 7.0493 2.3356
F 9.9240 8.2912 5.8809
F 9.6241 2.8272 2.0053
F 12.1105 4.5347 5.8809
F 7.2113 6.9724 2.0053
F 8.4849 4.9389 0.5630
F 3.5857 2.0872 4.1448
F 5.7722 0.8453 0.5996
F 6.0721 6.3093 4.4751
F 3.5857 4.6018 0.5996
F 8.4849 2.1641 4.4751
```

Total magnetic moment   0.41 μB/atom
Space group   R-3m
N(E_F)   7.7 states/eV/cell
Total DFT energy (no corrections)   -5.9860 eV per atom